Density functional theory data (GGA+U) for LaMnBrO2 after structural relaxation.

The structure in CIF format:
```
data_LaMnBrO2
_cell_length_a 6.920
_cell_length_b 3.674
_cell_length_c 7.762
_cell_angle_alpha 90.00
_cell_angle_beta 106.20
_cell_angle_gamma 90.00
_symmetry_space_group_name_H-M 'P 1 21/m 1'
_symmetry_Int_Tables_number 11
_symmetry_space_group_name_Hall '-P 2yb'
loop_
_atom_site_label
_atom_site_fract_x
_atom_site_fract_y
_atom_site_fract_z
_atom_site_occupancy
La1 0.178 0.250 0.194 1
Mn1 0.337 0.250 0.852 1
Br1 0.285 0.750 0.569 1
O1 0.046 0.250 0.866 1
O2 0.360 0.750 0.085 1
```

Summary:
DOS(E_F) = 0.00 states/eV/cell
total DFT energy (no corrections) = -71.2 eV per cell